The following is a DFT calculation (PBE) of a geometry-optimized Rb2SO3 structure.

a b c (Å): 7.743 8.211 18.344
angles (deg): 90.00 90.00 90.00
Space group Fmmm (No. 69)
Inequivalent atoms, fractional coordinates:
1 Rb 0.000 0.230 0.000 (multiplicity 8)
2 Rb 0.250 0.250 0.250 (multiplicity 8)
3 S 0.000 0.000 0.367 (multiplicity 8)
4 O 0.000 0.000 0.280 (multiplicity 8)
5 O 0.182 0.000 0.409 (multiplicity 16)

Output
For the raw formation energy, the calculation gives -1.1152 eV/atom.